Entry 1:
Mg2TlTcPb: optimized geometry, PBEsol.

The structure in CIF format:
```
data_Mg2TlTcPb
_chemical_formula_sum 'Mg2 Tl1 Tc1 Pb1'
_symmetry_space_group_name_H-M 'P 4/m m m'
_symmetry_Int_Tables_number 123
_symmetry_space_group_name_Hall '-P 4 2'
_cell_length_a 5.112
_cell_length_b 5.112
_cell_length_c 5.813
_cell_angle_alpha 90.00
_cell_angle_beta 90.00
_cell_angle_gamma 90.00
loop_
_atom_site_label
_atom_site_type_symbol
_atom_site_fract_x
_atom_site_fract_y
_atom_site_fract_z
_atom_site_occupancy
Mg1 Mg 0.000 0.500 0.000 1
Tl1 Tl 0.000 0.000 0.000 1
Tc1 Tc 0.500 0.500 0.500 1
Pb1 Pb 0.000 0.000 0.500 1
```

Values from the calculation:
V = 30.386 Å³ per atom
DFT formation energy = 1365 meV per atom
density of states at the Fermi level = 4.04 states/eV per cell
total magnetization = 3.81 μB/cell


Entry 2:
RbAl2H: optimized geometry, PBEsol.

The structure in CIF format:
```
data_RbAl2H
_chemical_formula_sum 'Rb4 Al8 H4'
_symmetry_space_group_name_H-M 'F m -3 m'
_symmetry_Int_Tables_number 225
_symmetry_space_group_name_Hall '-F 4 2 3'
_cell_length_a 7.357
_cell_length_b 7.357
_cell_length_c 7.357
_cell_angle_alpha 90.00
_cell_angle_beta 90.00
_cell_angle_gamma 90.00
loop_
_atom_site_label
_atom_site_type_symbol
_atom_site_fract_x
_atom_site_fract_y
_atom_site_fract_z
_atom_site_occupancy
Rb1 Rb 0.000 0.000 0.000 1
Al1 Al 0.250 0.250 0.250 1
H1 H 0.000 0.000 0.500 1
```

Values from the calculation:
V = 24.890 Å³ per atom
density of states at the Fermi level = 16.12 states/eV per cell
DFT total energy = -31.17 eV for the cell shown
total magnetization = 0.00 μB/cell


Entry 3:
LiCoPO4: optimized geometry, PBEsol.

The structure in CIF format:
```
data_LiCoPO4
_chemical_formula_sum 'Li4 Co4 P4 O16'
_symmetry_space_group_name_H-M 'P -1'
_symmetry_Int_Tables_number 2
_cell_length_a 5.764
_cell_length_b 6.309
_cell_length_c 9.166
_cell_angle_alpha 76.67
_cell_angle_beta 87.07
_cell_angle_gamma 81.13
loop_
_symmetry_equiv_pos_as_xyz
'x,y,z'
'-x,-y,-z'
loop_
_atom_site_label
_atom_site_type_symbol
_atom_site_fract_x
_atom_site_fract_y
_atom_site_fract_z
_atom_site_occupancy
Li1 Li 0.092 0.379 0.179 1
Li2 Li 0.103 0.887 0.249 1
Co1 Co 0.309 0.626 0.577 1
Co2 Co 0.468 0.923 0.794 1
P1 P 0.216 0.170 0.495 1
P2 P 0.342 0.291 0.882 1
O1 O 0.031 0.740 0.455 1
O2 O 0.188 0.120 0.857 1
O3 O 0.217 0.141 0.332 1
O4 O 0.236 0.527 0.794 1
O5 O 0.303 0.949 0.606 1
O6 O 0.337 0.298 0.050 1
O7 O 0.377 0.344 0.504 1
O8 O 0.409 0.787 0.174 1
```

Values from the calculation:
V = 11.444 Å³ per atom
density of states at the Fermi level = 5.08 states/eV per cell
total magnetization = 12.00 μB/cell
ΔE to the lowest computed polymorph = 62 meV/atom


Entry 4:
LaTa3Ti: optimized geometry, PBEsol.

The structure in CIF format:
```
data_LaTa3Ti
_chemical_formula_sum 'La1 Ta3 Ti1'
_symmetry_space_group_name_H-M 'P m -3 m'
_symmetry_Int_Tables_number 221
_symmetry_space_group_name_Hall '-P 4 2 3'
_cell_length_a 4.810
_cell_length_b 4.810
_cell_length_c 4.810
_cell_angle_alpha 90.00
_cell_angle_beta 90.00
_cell_angle_gamma 90.00
loop_
_atom_site_label
_atom_site_type_symbol
_atom_site_fract_x
_atom_site_fract_y
_atom_site_fract_z
_atom_site_occupancy
La1 La 0.000 0.000 0.000 1
Ta1 Ta 0.000 0.500 0.500 1
Ti1 Ti 0.500 0.500 0.500 1
```

Values from the calculation:
V = 22.252 Å³ per atom
DFT formation energy = 1101 meV per atom
density of states at the Fermi level = 8.57 states/eV per cell
total magnetization = 0.00 μB/cell


Entry 5:
SrH10Pb2Br6O5: optimized geometry, PBEsol.

The structure in CIF format:
```
data_SrH10Pb2Br6O5
_chemical_formula_sum 'Sr4 H40 Pb8 Br24 O20'
_symmetry_space_group_name_H-M 'C 1 2/c 1'
_symmetry_Int_Tables_number 15
_cell_length_a 15.074
_cell_length_b 12.140
_cell_length_c 9.189
_cell_angle_alpha 90.00
_cell_angle_beta 114.89
_cell_angle_gamma 90.00
loop_
_symmetry_equiv_pos_as_xyz
'x,y,z'
'-x,-y,-z'
'-x,y,-z+1/2'
'x,-y,z+1/2'
'x+1/2,y+1/2,z'
'-x+1/2,-y+1/2,-z'
'-x+1/2,y+1/2,-z+1/2'
'x+1/2,-y+1/2,z+1/2'
loop_
_atom_site_label
_atom_site_type_symbol
_atom_site_fract_x
_atom_site_fract_y
_atom_site_fract_z
_atom_site_occupancy
Sr1 Sr 0.000 0.013 0.250 1
H1 H 0.051 0.171 0.549 1
H2 H 0.057 0.268 0.274 1
H3 H 0.143 0.096 0.616 1
H4 H 0.181 0.110 0.219 1
H5 H 0.212 0.121 0.406 1
Pb1 Pb 0.146 0.418 0.973 1
Br1 Br 0.068 0.372 0.610 1
Br2 Br 0.149 0.166 0.973 1
Br3 Br 0.194 0.367 0.320 1
O1 O 0.000 0.219 0.250 1
O2 O 0.070 0.092 0.562 1
O3 O 0.177 0.072 0.313 1
```

Values from the calculation:
V = 15.889 Å³ per atom
density of states at the Fermi level = 0.00 states/eV per cell
DFT total energy = -431.59 eV for the cell shown
total magnetization = 0.00 μB/cell


Entry 6:
TiBe2Pt2: optimized geometry, PBEsol.

The structure in CIF format:
```
data_TiBe2Pt2
_chemical_formula_sum 'Ti2 Be4 Pt4'
_symmetry_space_group_name_H-M 'P 4/m b m'
_symmetry_Int_Tables_number 127
_symmetry_space_group_name_Hall '-P 4 2ab'
_cell_length_a 6.781
_cell_length_b 6.781
_cell_length_c 2.666
_cell_angle_alpha 90.00
_cell_angle_beta 90.00
_cell_angle_gamma 90.00
loop_
_atom_site_label
_atom_site_type_symbol
_atom_site_fract_x
_atom_site_fract_y
_atom_site_fract_z
_atom_site_occupancy
Ti1 Ti 0.000 0.000 0.000 1
Be1 Be 0.117 0.383 0.000 1
Pt1 Pt 0.177 0.677 0.500 1
```

Values from the calculation:
V = 12.256 Å³ per atom
DFT formation energy = -750 meV per atom
density of states at the Fermi level = 5.84 states/eV per cell
total magnetization = 0.00 μB/cell


Entry 7:
Ba2LiRh: optimized geometry, PBEsol.

The structure in CIF format:
```
data_Ba2LiRh
_chemical_formula_sum 'Ba4 Li2 Rh2'
_symmetry_space_group_name_H-M 'A m m 2'
_symmetry_Int_Tables_number 38
_cell_length_a 4.571
_cell_length_b 4.498
_cell_length_c 11.959
_cell_angle_alpha 90.00
_cell_angle_beta 90.00
_cell_angle_gamma 90.00
loop_
_symmetry_equiv_pos_as_xyz
'x,y,z'
'-x,-y,z'
'-x,y,z'
'x,-y,z'
'x,y+1/2,z+1/2'
'-x,-y+1/2,z+1/2'
'-x,y+1/2,z+1/2'
'x,-y+1/2,z+1/2'
loop_
_atom_site_label
_atom_site_type_symbol
_atom_site_fract_x
_atom_site_fract_y
_atom_site_fract_z
_atom_site_occupancy
Ba1 Ba 0.000 0.000 0.000 1
Ba2 Ba 0.500 0.000 0.275 1
Li1 Li 0.500 0.000 0.590 1
Rh1 Rh 0.000 0.000 0.688 1
```

Values from the calculation:
V = 30.732 Å³ per atom
DFT formation energy = -30 meV per atom
density of states at the Fermi level = 2.02 states/eV per cell
total magnetization = 0.00 μB/cell


Entry 8:
AlFeH2: optimized geometry, PBEsol.

The structure in CIF format:
```
data_AlFeH2
_chemical_formula_sum 'Al4 Fe4 H8'
_symmetry_space_group_name_H-M 'I -4 2 d'
_symmetry_Int_Tables_number 122
_symmetry_space_group_name_Hall 'I -4 2bw'
_cell_length_a 3.748
_cell_length_b 3.748
_cell_length_c 8.490
_cell_angle_alpha 90.00
_cell_angle_beta 90.00
_cell_angle_gamma 90.00
loop_
_atom_site_label
_atom_site_type_symbol
_atom_site_fract_x
_atom_site_fract_y
_atom_site_fract_z
_atom_site_occupancy
Al1 Al 0.000 0.000 0.000 1
Fe1 Fe 0.000 0.000 0.500 1
H1 H 0.184 0.250 0.625 1
```

Values from the calculation:
V = 7.453 Å³ per atom
density of states at the Fermi level = 7.42 states/eV per cell
DFT total energy = -77.75 eV for the cell shown
total magnetization = 0.00 μB/cell


Entry 9:
LiIn2Ag: optimized geometry, PBEsol.

The structure in CIF format:
```
data_LiIn2Ag
_chemical_formula_sum 'Li2 In4 Ag2'
_symmetry_space_group_name_H-M 'I -4 m 2'
_symmetry_Int_Tables_number 119
_symmetry_space_group_name_Hall 'I -4 -2'
_cell_length_a 4.250
_cell_length_b 4.250
_cell_length_c 8.615
_cell_angle_alpha 90.00
_cell_angle_beta 90.00
_cell_angle_gamma 90.00
loop_
_atom_site_label
_atom_site_type_symbol
_atom_site_fract_x
_atom_site_fract_y
_atom_site_fract_z
_atom_site_occupancy
Li1 Li 0.000 0.000 0.000 1
In1 In 0.000 0.000 0.500 1
In2 In 0.000 0.500 0.250 1
Ag1 Ag 0.000 0.500 0.750 1
```

Values from the calculation:
V = 19.448 Å³ per atom
DFT formation energy = -173 meV per atom
density of states at the Fermi level = 2.53 states/eV per cell
total magnetization = 0.00 μB/cell


Entry 10:
La2CdSe: optimized geometry, PBEsol.

The structure in CIF format:
```
data_La2CdSe
_chemical_formula_sum 'La6 Cd3 Se3'
_symmetry_space_group_name_H-M 'R -3 m'
_symmetry_Int_Tables_number 166
_symmetry_space_group_name_Hall '-R 3 2"'
_cell_length_a 4.2276
_cell_length_b 4.2276
_cell_length_c 23.2675
_cell_angle_alpha 90.00
_cell_angle_beta 90.00
_cell_angle_gamma 120.00
loop_
_atom_site_label
_atom_site_type_symbol
_atom_site_fract_x
_atom_site_fract_y
_atom_site_fract_z
_atom_site_occupancy
La1 La 0.0000 0.0000 0.2407 1
Cd1 Cd 0.0000 0.0000 0.0000 1
Se1 Se 0.0000 0.0000 0.5000 1
```

Values from the calculation:
V = 30.011 Å³ per atom
density of states at the Fermi level = 8.22 states/eV per cell
total magnetization = 0.00 μB/cell
ΔE to the lowest computed polymorph = 0 meV/atom


Entry 11:
Li3Fe3P4O16: optimized geometry, PBEsol.

The structure in CIF format:
```
data_Li3Fe3P4O16
_chemical_formula_sum 'Li6 Fe6 P8 O32'
_symmetry_space_group_name_H-M 'P 1 21/c 1'
_symmetry_Int_Tables_number 14
_cell_length_a 8.191
_cell_length_b 4.935
_cell_length_c 15.210
_cell_angle_alpha 90.00
_cell_angle_beta 111.85
_cell_angle_gamma 90.00
loop_
_symmetry_equiv_pos_as_xyz
'x,y,z'
'-x,-y,-z'
'-x,y+1/2,-z+1/2'
'x,-y+1/2,z+1/2'
loop_
_atom_site_label
_atom_site_type_symbol
_atom_site_fract_x
_atom_site_fract_y
_atom_site_fract_z
_atom_site_occupancy
Li1 Li 0.000 0.000 0.000 1
Li2 Li 0.297 0.015 0.622 1
Fe1 Fe 0.185 0.565 0.706 1
Fe2 Fe 0.500 0.000 0.500 1
P1 P 0.078 0.517 0.893 1
P2 P 0.471 0.509 0.350 1
O1 O 0.002 0.200 0.110 1
O2 O 0.062 0.694 0.100 1
O3 O 0.110 0.042 0.302 1
O4 O 0.244 0.031 0.482 1
O5 O 0.323 0.592 0.255 1
O6 O 0.349 0.091 0.157 1
O7 O 0.447 0.677 0.428 1
O8 O 0.476 0.203 0.372 1
```

Values from the calculation:
V = 10.973 Å³ per atom
density of states at the Fermi level = 0.49 states/eV per cell
DFT total energy = -382.55 eV for the cell shown
total magnetization = 30.06 μB/cell


Entry 12:
TcNiIr2: optimized geometry, PBEsol.

The structure in CIF format:
```
data_TcNiIr2
_chemical_formula_sum 'Tc2 Ni2 Ir4'
_symmetry_space_group_name_H-M 'I 4/m m m'
_symmetry_Int_Tables_number 139
_symmetry_space_group_name_Hall '-I 4 2'
_cell_length_a 3.761
_cell_length_b 3.761
_cell_length_c 7.454
_cell_angle_alpha 90.00
_cell_angle_beta 90.00
_cell_angle_gamma 90.00
loop_
_atom_site_label
_atom_site_type_symbol
_atom_site_fract_x
_atom_site_fract_y
_atom_site_fract_z
_atom_site_occupancy
Tc1 Tc 0.000 0.000 0.000 1
Ni1 Ni 0.000 0.000 0.500 1
Ir1 Ir 0.000 0.500 0.250 1
```

Values from the calculation:
V = 13.182 Å³ per atom
DFT formation energy = -87 meV per atom
density of states at the Fermi level = 10.58 states/eV per cell
total magnetization = 0.00 μB/cell
ΔE to the lowest computed polymorph = 39 meV/atom